No. 1
Density functional theory data (PBE) for a relaxed structure of GaHg2Te4Au.

Geometry as POSCAR:
```
GaHg2Te4Au
1.0
6.457 0.268 0.000
-0.268 6.457 0.000
-3.095 -3.363 6.480
Ga Hg Te Au
1 2 4 1
Direct
0.500 0.500 0.000
0.750 0.250 0.500
0.250 0.750 0.500
0.629 0.629 0.769
0.371 0.861 0.231
0.861 0.371 0.231
0.140 0.140 0.769
0.000 0.000 0.000
```

Calculated volume: 271 Å³/f.u.
E_form (uncorrected): -201 meV per atom
Total magnetic moment: 0.0 μB per formula unit
Density of states at the Fermi level: 0.699 states/eV/cell
Symmetry: I-42m (121)
Calculated total energy: -2.64 eV/atom

No. 2
Density functional theory data (PBE) for a relaxed structure of ThGaHgAu.

Geometry as POSCAR:
```
ThGaHgAu
1.0
-2.195 -4.576 -0.106
1.491 -3.452 -3.410
2.596 -4.095 1.502
Ga Au Hg Th
1 1 1 1
Direct
0.250 0.250 0.250
0.000 0.000 0.000
0.500 0.500 0.500
0.750 0.750 0.750
```

Calculated volume: 92 Å³/f.u.
Total magnetic moment: 0.0 μB per formula unit
Density of states at the Fermi level: 1.389 states/eV/cell
ΔE_f: -389 meV/atom
Symmetry: F-43m (216)
Calculated total energy: -3.90 eV/atom

No. 3
Density functional theory data (PBE) for a relaxed structure of TlGaHg2Au.

Geometry as POSCAR:
```
TlGaHg2Au
1.0
-1.769 4.653 -1.985
-4.797 -2.211 -0.907
-1.492 1.373 4.547
Tl Au Hg Ga
1 1 2 1
Direct
0.500 0.500 0.500
0.000 0.000 0.500
0.000 0.500 0.000
0.500 0.000 0.000
0.000 0.000 0.000
```

Calculated volume: 143 Å³/f.u.
E above lowest polymorph: 0 meV/atom
Total magnetic moment: 0.0 μB per formula unit
Density of states at the Fermi level: 1.260 states/eV/cell
ΔE_f: 58 meV/atom
Symmetry: P4/mmm (123)
Calculated total energy: -1.80 eV/atom

No. 4
Density functional theory data (PBE) for a relaxed structure of TlGaHg2Au.

Geometry as POSCAR:
```
TlGaHg2Au
1.0
-4.384 2.922 -1.382
-2.417 -4.510 -1.869
-1.944 -0.807 4.462
Tl Au Hg Ga
1 1 2 1
Direct
0.500 0.500 0.500
0.000 0.000 0.000
0.000 0.500 0.000
0.500 0.000 0.000
0.000 0.000 0.500
```

Calculated volume: 146 Å³/f.u.
E above lowest polymorph: 36 meV/atom
Total magnetic moment: 0.0 μB per formula unit
Density of states at the Fermi level: 2.455 states/eV/cell
ΔE_f: 94 meV/atom
Symmetry: P4/mmm (123)
Calculated total energy: -1.76 eV/atom

No. 5
Density functional theory data (PBE) for a relaxed structure of UGaHgAu.

Geometry as POSCAR:
```
UGaHgAu
1.0
-4.208 -2.371 -1.077
-1.645 -3.595 2.976
-4.033 0.734 2.772
Au U Hg Ga
1 1 1 1
Direct
0.500 0.500 0.500
0.750 0.750 0.750
0.250 0.250 0.250
0.000 0.000 0.000
```

Calculated volume: 86 Å³/f.u.
Total magnetic moment: 2.7 μB per formula unit
Density of states at the Fermi level: 9.344 states/eV/cell
ΔE_f: -31 meV/atom
Symmetry: F-43m (216)
Calculated total energy: -4.50 eV/atom

No. 6
Density functional theory data (PBE) for a relaxed structure of Y4GaHg2Au.

Geometry as POSCAR:
```
Y4GaHg2Au
1.0
5.191 0.000 0.000
2.596 4.496 0.000
2.596 1.499 8.460
Y Ga Hg Au
4 1 2 1
Direct
0.376 0.376 0.873
0.875 0.875 0.376
0.125 0.125 0.624
0.624 0.624 0.127
0.000 0.000 0.000
0.749 0.749 0.754
0.251 0.251 0.246
0.500 0.500 0.500
```

Calculated volume: 197 Å³/f.u.
Total magnetic moment: 0.0 μB per formula unit
Density of states at the Fermi level: 5.766 states/eV/cell
ΔE_f: -607 meV/atom
Symmetry: R-3m (166)
Calculated total energy: -4.70 eV/atom

No. 7
Density functional theory data (PBE) for a relaxed structure of YGaHgAu.

Geometry as POSCAR:
```
YGaHgAu
1.0
-3.565 -3.432 -0.266
-0.460 -2.786 -4.073
1.177 -4.812 0.143
Y Au Hg Ga
1 1 1 1
Direct
0.250 0.250 0.250
0.500 0.500 0.500
0.000 0.000 0.000
0.750 0.750 0.750
```

Calculated volume: 86 Å³/f.u.
Total magnetic moment: 0.0 μB per formula unit
Density of states at the Fermi level: 1.740 states/eV/cell
ΔE_f: -492 meV/atom
Symmetry: F-43m (216)
Calculated total energy: -3.76 eV/atom

No. 8
Density functional theory data (PBE) for a relaxed structure of ZnGaHgAu.

Geometry as POSCAR:
```
ZnGaHgAu
1.0
-1.919 -3.099 -3.104
0.036 -4.689 0.967
-4.084 -2.253 1.082
Zn Au Hg Ga
1 1 1 1
Direct
0.500 0.500 0.500
0.250 0.250 0.250
0.750 0.750 0.750
0.000 0.000 0.000
```

Calculated volume: 78 Å³/f.u.
Total magnetic moment: 0.0 μB per formula unit
Density of states at the Fermi level: 3.438 states/eV/cell
ΔE_f: 66 meV/atom
Symmetry: F-43m (216)
Calculated total energy: -1.90 eV/atom

No. 9
Density functional theory data (PBE) for a relaxed structure of HoGaAu6.

Geometry as POSCAR:
```
HoGaAu6
1.0
-2.887 -2.952 -1.380
2.011 -3.810 -2.927
0.908 -6.248 4.601
Ho Ga Au
1 1 6
Direct
0.000 0.500 0.500
0.000 0.000 0.000
0.259 0.852 0.631
0.515 0.204 0.765
0.225 0.426 0.123
0.485 0.796 0.235
0.741 0.148 0.369
0.775 0.574 0.877
```

Calculated volume: 151 Å³/f.u.
Total magnetic moment: 0.0 μB per formula unit
Density of states at the Fermi level: 2.619 states/eV/cell
ΔE_f: -395 meV/atom
Symmetry: C2/m (12)
Calculated total energy: -3.80 eV/atom

No. 10
Density functional theory data (PBE) for a relaxed structure of HoGa2Au.

Geometry as POSCAR:
```
HoGa2Au
1.0
-2.599 1.945 3.528
-3.490 -2.541 2.087
0.531 -1.553 4.505
Au Ho Ga
1 1 2
Direct
0.500 0.500 0.500
0.000 0.000 0.000
0.250 0.250 0.250
0.750 0.750 0.750
```

Calculated volume: 78 Å³/f.u.
Total magnetic moment: 0.0 μB per formula unit
Density of states at the Fermi level: 1.028 states/eV/cell
ΔE_f: -449 meV/atom
Symmetry: Fm-3m (225)
Calculated total energy: -3.93 eV/atom

No. 11
Density functional theory data (PBE) for a relaxed structure of Ho3Ga7Au4.

Geometry as POSCAR:
```
Ho3Ga7Au4
1.0
4.239 0.000 1.069
1.594 7.745 2.618
0.155 0.000 8.320
Ho Ga Au
3 7 4
Direct
0.310 0.192 0.189
0.690 0.808 0.811
0.000 0.500 0.500
0.331 0.800 0.538
0.504 0.195 0.797
0.851 0.369 0.929
0.669 0.200 0.462
0.149 0.631 0.071
0.000 0.000 0.000
0.496 0.805 0.203
0.651 0.478 0.220
0.349 0.522 0.780
0.864 0.909 0.363
0.136 0.091 0.637
```

Calculated volume: 272 Å³/f.u.
Total magnetic moment: 0.0 μB per formula unit
Density of states at the Fermi level: 4.548 states/eV/cell
ΔE_f: -605 meV/atom
Symmetry: C2/m (12)
Calculated total energy: -4.04 eV/atom

No. 12
Density functional theory data (PBE) for a relaxed structure of HoGa2Au.

Geometry as POSCAR:
```
HoGa2Au
1.0
4.271 0.000 0.000
0.000 4.285 0.000
0.000 0.000 4.285
Au Ho Ga
1 1 2
Direct
0.500 0.000 0.000
0.500 0.500 0.500
0.000 0.000 0.500
0.000 0.500 0.000
```

Calculated volume: 78 Å³/f.u.
Total magnetic moment: 0.0 μB per formula unit
Density of states at the Fermi level: 0.469 states/eV/cell
ΔE_f: -572 meV/atom
Symmetry: P4/mmm (123)
Calculated total energy: -4.05 eV/atom